# 1
This record from the Alexandria database describes a relaxed structure of K2RbPmCl6. The functional is PBE.

Unit cell a=7.6810 b=8.1628 c=11.0681 alpha=90.00 beta=89.23 gamma=90.00
Atoms (fractional coordinates):
Cl 0.7831 0.8226 0.5649
Cl 0.2169 0.1774 0.4351
Cl 0.2831 0.6774 0.0649
Cl 0.1440 0.4295 0.7780
Cl 0.8374 0.7743 0.9125
Cl 0.8560 0.5705 0.2220
Cl 0.3560 0.9295 0.7220
Cl 0.7169 0.3226 0.9351
Cl 0.6440 0.0705 0.2780
Cl 0.1626 0.2257 0.0875
Cl 0.3374 0.7257 0.4125
Cl 0.6626 0.2743 0.5875
K 0.5303 0.5729 0.7578
K 0.4697 0.4271 0.2422
K 0.0303 0.9271 0.2578
K 0.9697 0.0729 0.7422
Pm 0.0000 0.5000 0.0000
Pm 0.5000 0.0000 0.5000
Rb 0.5000 0.0000 0.0000
Rb 0.0000 0.5000 0.5000

* energy relative to the elements, uncorrected: -2120.6 meV/atom
* energy: -0.148 Ha/atom
* space-group type: P2_1/c, No. 14


# 2
This record from the Alexandria database describes a relaxed structure of CeTlFe4. The functional is PBE.

Unit cell a=5.1275 b=5.1275 c=5.1275 alpha=60.00 beta=60.00 gamma=60.00
Atoms (fractional coordinates):
Fe 0.6237 0.6237 0.1288
Fe 0.1288 0.6237 0.6237
Fe 0.6237 0.6237 0.6237
Fe 0.6237 0.1288 0.6237
Ce 0.2500 0.2500 0.2500
Tl 0.0000 0.0000 0.0000

* energy: -0.255 Ha/atom
* E_form: 98 meV/atom
* space-group type: F-43m, No. 216


# 3
This record from the Alexandria database describes a relaxed structure of Er8ScPb6. The functional is PBE.

Unit cell a=9.0256 b=9.0256 c=8.3385 alpha=57.23 beta=57.23 gamma=60.00
Atoms (fractional coordinates):
Pb 0.3996 0.0687 0.7940
Pb 0.9313 0.2623 0.2060
Pb 0.7377 0.3996 0.7940
Pb 0.2623 0.6004 0.2060
Pb 0.0687 0.7377 0.7940
Pb 0.6004 0.9313 0.2060
Er 0.5638 0.2282 0.3119
Er 0.2282 0.8961 0.3119
Er 0.6664 0.6664 0.0009
Er 0.1039 0.4362 0.6881
Er 0.7718 0.1039 0.6881
Er 0.4362 0.7718 0.6881
Er 0.3336 0.3336 0.9991
Er 0.8961 0.5638 0.3119
Sc 0.0000 0.0000 0.0000

* energy: -0.170 Ha/atom
* E_form: -295 meV/atom
* space-group type: R-3, No. 148


# 4
This record from the Alexandria database describes a relaxed structure of V3TcH. The functional is PBE.

Unit cell a=3.8640 b=3.8640 c=3.8640 alpha=90.00 beta=90.00 gamma=90.00
Atoms (fractional coordinates):
Tc 0.5000 0.5000 0.5000
V 0.5000 0.0000 0.0000
V 0.0000 0.0000 0.5000
V 0.0000 0.5000 0.0000
H 0.0000 0.0000 0.0000

* energy: -0.302 Ha/atom
* space-group type: Pm-3m, No. 221


# 5
This record from the Alexandria database describes a relaxed structure of NaHf2Sn2. The functional is PBE.

Unit cell a=8.7391 b=8.7391 c=3.2041 alpha=90.00 beta=90.00 gamma=90.00
Atoms (fractional coordinates):
Na 0.5000 0.5000 0.0000
Na 0.0000 0.0000 0.0000
Hf 0.6252 0.8748 0.5000
Hf 0.3748 0.1252 0.5000
Hf 0.8748 0.3748 0.5000
Hf 0.1252 0.6252 0.5000
Sn 0.8320 0.6680 0.0000
Sn 0.1680 0.3320 0.0000
Sn 0.3320 0.8320 0.0000
Sn 0.6680 0.1680 0.0000

* energy: -0.220 Ha/atom
* E_form: -142 meV/atom
* space-group type: P4/mbm, No. 127


# 6
This record from the Alexandria database describes a relaxed structure of KRb2HgH4. The functional is PBE.

Unit cell a=6.3263 b=6.3263 c=6.3263 alpha=96.58 beta=116.28 gamma=116.28
Atoms (fractional coordinates):
Rb 0.5000 0.7500 0.2500
Rb 0.0000 0.0000 0.0000
Hg 0.0000 0.5000 0.5000
H 0.0226 0.2355 0.6090
H 0.6266 0.3910 0.4137
H 0.9774 0.5863 0.2129
H 0.3734 0.7871 0.7645
K 0.5000 0.2500 0.7500

* energy: -0.075 Ha/atom
* space-group type: I-4, No. 82